No. 1
Here is crystalline Hf2BePb at its relaxed geometry from OQMD. Energies are from GGA-PBE.

a b c (Å): 6.8726 6.8726 6.8726
angles (deg): 90.00 90.00 90.00
Last column: nearest neighbours and their distance in Å.
Space group F-43m (No. 216)
Unique sites:
Hf (0.0000, 0.0000, 0.0000) (multiplicity 4)  4 Hf 2.98, 4 Be 2.98
Hf (0.2500, 0.2500, 0.2500) (multiplicity 4)  4 Hf 2.98, 4 Pb 2.98
Be (0.2500, 0.2500, 0.7500) (multiplicity 4)  4 Hf 2.98, 4 Pb 2.98
Pb (0.0000, 0.0000, 0.5000) (multiplicity 4)  4 Hf 2.98, 4 Be 2.98

Calculated values
Total DFT energy (no corrections) (eV per atom): -6.16
Spin magnetization (μB per atom): 0.01

***

No. 2
Here is crystalline PrNbN2O at its relaxed geometry from OQMD. Energies are from GGA-PBE.

a b c (Å): 5.5769 5.6462 6.0593
angles (deg): 62.26 88.94 60.57
Last column: nearest neighbours and their distance in Å.
Space group P1 (No. 1)
Unique sites:
Pr (0.0000, 0.0000, 0.0000) (multiplicity 1)  2 O 2.32-2.52, 3 N 2.42-2.52
Pr (0.2665, 0.4825, 0.7776) (multiplicity 1)  2 O 2.35-2.58, 4 N 2.39-2.54
Nb (0.5002, 0.0388, 0.4487) (multiplicity 1)  2 N 1.94-2.02, 1 O 1.99
Nb (0.7729, 0.4830, 0.3290) (multiplicity 1)  3 N 1.90-2.08
N (0.0884, 0.4738, 0.1691) (multiplicity 1)  2 Nb 1.98-2.21
N (0.4592, 0.9164, 0.1368) (multiplicity 1)  1 Nb 1.90
N (0.6395, 0.1827, 0.6197) (multiplicity 1)  1 Nb 1.94
N (0.8235, 0.5761, 0.6134) (multiplicity 1)  2 Nb 2.02-2.08
O (0.2305, 0.9645, 0.6462) (multiplicity 1)  1 Nb 1.99
O (0.6596, 0.2874, 0.1527) (multiplicity 1)  2 Nb 2.14-2.19, 1 Pr 2.32

Calculated values
Total DFT energy (no corrections) (eV per atom): -8.92
Spin magnetization (μB per atom): 0.00

***

No. 3
Here is crystalline YTm2Co2B2N3 at its relaxed geometry from OQMD. Energies are from GGA-PBE.

a b c (Å): 3.4344 3.4344 19.8460
angles (deg): 90.00 90.00 90.00
Last column: nearest neighbours and their distance in Å.
Space group I4/mmm (No. 139)
Unique sites:
Y (0.0000, 0.0000, 0.0000) (multiplicity 2)  6 N 2.33-2.43
Tm (0.0000, 0.0000, 0.3763) (multiplicity 4)  5 N 2.43-2.46
Co (0.0000, 0.5000, 0.2500) (multiplicity 4)  4 B 2.05
B (0.0000, 0.0000, 0.1933) (multiplicity 4)  1 N 1.50
N (0.0000, 0.0000, 0.1176) (multiplicity 4)  1 B 1.50
N (0.0000, 0.0000, 0.5000) (multiplicity 2)  4 Y 2.43, 2 Tm 2.46

Calculated values
Total DFT energy (no corrections) (eV per atom): -8.04
Spin magnetization (μB per atom): 0.00

***

No. 4
Here is crystalline Mo3AuCN at its relaxed geometry from OQMD. Energies are from GGA-PBE.

a b c (Å): 3.0875 3.0875 18.7324
angles (deg): 90.00 90.00 120.00
Last column: nearest neighbours and their distance in Å.
Space group P-3m1 (No. 164)
Unique sites:
Mo (0.0000, 0.0000, 0.0000) (multiplicity 1)  6 N 2.19
Mo (0.0000, 0.0000, 0.5000) (multiplicity 1)  6 C 2.21
Mo (0.3333, 0.6667, 0.1240) (multiplicity 2)  3 N 2.07
Mo (0.3333, 0.6667, 0.3717) (multiplicity 2)  3 C 2.09
Au (0.0000, 0.0000, 0.2464) (multiplicity 2)  6 Mo 2.90-2.95, 6 Au 3.09
C (0.3333, 0.6667, 0.5701) (multiplicity 2)  6 Mo 2.09-2.21
N (0.3333, 0.6667, 0.9321) (multiplicity 2)  6 Mo 2.07-2.19

Calculated values
Total DFT energy (no corrections) (eV per atom): -8.81
Spin magnetization (μB per atom): 0.00

***

No. 5
Here is crystalline TaCoCuSb at its relaxed geometry from OQMD. Energies are from GGA-PBE.

a b c (Å): 6.2526 6.2526 6.2526
angles (deg): 90.00 90.00 90.00
Last column: nearest neighbours and their distance in Å.
Space group F-43m (No. 216)
Unique sites:
Ta (0.0000, 0.0000, 0.0000) (multiplicity 4)  4 Co 2.71, 4 Cu 2.71
Co (0.2500, 0.2500, 0.7500) (multiplicity 4)  4 Ta 2.71, 4 Sb 2.71
Cu (0.2500, 0.2500, 0.2500) (multiplicity 4)  4 Ta 2.71, 4 Sb 2.71
Sb (0.0000, 0.0000, 0.5000) (multiplicity 4)  4 Co 2.71, 4 Cu 2.71

Calculated values
Total DFT energy (no corrections) (eV per atom): -6.48
Distance to the lowest polymorph of the same formula (eV per formula unit): 0.00
Spin magnetization (μB per atom): 0.00

***

No. 6
Here is crystalline PmTe2 at its relaxed geometry from OQMD. Energies are from GGA-PBE.

a b c (Å): 13.7079 13.7079 13.7079
angles (deg): 90.00 90.00 90.00
Last column: nearest neighbours and their distance in Å.
Space group Fd-3m (No. 227, origin choice 2)
Unique sites:
Pm (0.1250, 0.1250, 0.1250) (multiplicity 8)  4 Te 2.97
Te (0.0000, 0.0000, 0.0000) (multiplicity 16)  2 Pm 2.97

Calculated values
Total DFT energy (no corrections) (eV per atom): -4.17
Distance to the lowest polymorph of the same formula (eV per formula unit): 2.26
Spin magnetization (μB per atom): 0.34

***

No. 7
Here is crystalline BaTbGe3 at its relaxed geometry from OQMD. Energies are from GGA-PBE.

a b c (Å): 5.1338 5.1338 10.5997
angles (deg): 90.00 90.00 90.00
Last column: nearest neighbours and their distance in Å.
Space group I4mm (No. 107)
Unique sites:
Ba (0.0000, 0.0000, 0.0000) (multiplicity 2)  13 Ge 3.51-3.91, 1 Tb 3.76
Tb (0.0000, 0.0000, 0.6453) (multiplicity 2)  5 Ge 2.91-2.99
Ge (0.0000, 0.0000, 0.3636) (multiplicity 2)  4 Ge 2.74, 1 Tb 2.99
Ge (0.0000, 0.5000, 0.2742) (multiplicity 4)  2 Ge 2.74, 2 Tb 2.91

Calculated values
Total DFT energy (no corrections) (eV per atom): -4.38
Spin magnetization (μB per atom): 0.00

***

No. 8
Here is crystalline Mg4Ge2IrPd at its relaxed geometry from OQMD. Energies are from GGA-PBE.

a b c (Å): 4.3732 4.3732 8.6481
angles (deg): 90.00 90.00 120.00
Last column: nearest neighbours and their distance in Å.
Space group P-6m2 (No. 187)
Unique sites:
Mg (0.0000, 0.0000, 0.1643) (multiplicity 2)  4 Mg 2.84-2.90, 3 Ge 2.90, 3 Ir 2.90, 1 Pd 2.90
Mg (0.3333, 0.6667, 0.3301) (multiplicity 2)  1 Ir 2.85, 4 Mg 2.90-2.94, 3 Pd 2.92, 3 Ge 2.92
Ge (0.6667, 0.3333, 0.0000) (multiplicity 1)  3 Ir 2.52
Ge (0.6667, 0.3333, 0.5000) (multiplicity 1)  3 Pd 2.52
Ir (0.3333, 0.6667, 0.0000) (multiplicity 1)  3 Ge 2.52
Pd (0.0000, 0.0000, 0.5000) (multiplicity 1)  3 Ge 2.52

Calculated values
Total DFT energy (no corrections) (eV per atom): -4.16
Spin magnetization (μB per atom): 0.00

***

No. 9
Here is crystalline Nd2ZrSbO6 at its relaxed geometry from OQMD. Energies are from GGA-PBE.

a b c (Å): 4.4708 5.3671 6.3268
angles (deg): 82.71 79.52 88.81
Last column: nearest neighbours and their distance in Å.
Space group P-1 (No. 2)
Unique sites:
Nd (0.2046, 0.4944, 0.2384) (multiplicity 2)  3 O 2.19-2.40
Zr (0.5000, 0.0000, 0.5000) (multiplicity 1)  4 O 2.07-2.08
Sb (0.0000, 0.0000, 0.0000) (multiplicity 1)  4 O 2.21-2.30
O (0.2247, 0.3075, 0.5634) (multiplicity 2)  1 Zr 2.07, 1 Nd 2.19
O (0.2686, 0.7192, 0.7920) (multiplicity 2)  1 Sb 2.30, 1 Zr 2.33, 1 Nd 2.48
O (0.2938, 0.9213, 0.2460) (multiplicity 2)  1 Zr 2.08, 1 Sb 2.21

Calculated values
Total DFT energy (no corrections) (eV per atom): -7.64
Spin magnetization (μB per atom): 0.00

***

No. 10
Here is crystalline PrCdO3 at its relaxed geometry from OQMD. Energies are from GGA-PBE.

a b c (Å): 6.1044 8.1663 5.6778
angles (deg): 90.00 90.00 90.00
Last column: nearest neighbours and their distance in Å.
Space group Pnma (No. 62)
Unique sites:
Pr (0.0757, 0.2500, 0.0241) (multiplicity 4)  6 O 2.36-2.64
Cd (0.0000, 0.0000, 0.5000) (multiplicity 4)  6 O 2.15-2.26
O (0.0528, 0.7500, 0.3680) (multiplicity 4)  2 Cd 2.20, 2 Pr 2.36-2.43
O (0.1872, 0.5653, 0.8076) (multiplicity 8)  2 Cd 2.15-2.26, 1 Pr 2.40

Calculated values
Total DFT energy (no corrections) (eV per atom): -6.01
Spin magnetization (μB per atom): 0.00

***

No. 11
Here is crystalline LiYTlAg at its relaxed geometry from OQMD. Energies are from GGA-PBE.

a b c (Å): 6.9423 6.9423 6.9423
angles (deg): 90.00 90.00 90.00
Last column: nearest neighbours and their distance in Å.
Space group F-43m (No. 216)
Unique sites:
Li (0.0000, 0.0000, 0.0000) (multiplicity 4)  4 Tl 3.01, 4 Y 3.01
Y (0.2500, 0.2500, 0.7500) (multiplicity 4)  4 Li 3.01, 4 Ag 3.01
Tl (0.2500, 0.2500, 0.2500) (multiplicity 4)  4 Ag 3.01, 4 Li 3.01
Ag (0.0000, 0.0000, 0.5000) (multiplicity 4)  4 Y 3.01, 4 Tl 3.01

Calculated values
Total DFT energy (no corrections) (eV per atom): -3.69
Distance to the lowest polymorph of the same formula (eV per formula unit): 0.00
Spin magnetization (μB per atom): 0.00

***

No. 12
Here is crystalline PaO at its relaxed geometry from OQMD. Energies are from GGA-PBE.

a b c (Å): 3.3612 3.3612 3.4508
angles (deg): 90.00 90.00 120.00
Last column: nearest neighbours and their distance in Å.
Space group P-6m2 (No. 187)
Unique sites:
Pa (0.0000, 0.0000, 0.0000) (multiplicity 1)  6 O 2.60
O (0.3333, 0.6667, 0.5000) (multiplicity 1)  6 Pa 2.60

Calculated values
Total DFT energy (no corrections) (eV per atom): -9.24
Distance to the lowest polymorph of the same formula (eV per formula unit): 0.00
Spin magnetization (μB per atom): 0.11

***

Q: Number 6 is which compound?
A: PmTe2